{
  "formula": "CeFeNiH6",
  "functional": "PBE",
  "state": "relaxed",
  "final_energy_ev_per_fu": -43.22,
  "dos_ef_per_ev_atom": 0.707,
  "lattice_angstrom": [[4.403, 0.000, 0.000], [-2.201, 3.813, 0.000], [0.000, 0.000, 4.262]],
  "species": ["Ce", "Fe", "Ni", "H", "H", "H", "H", "H", "H"],
  "fractional_positions": [[0.000, 0.000, 0.000], [0.333, 0.667, 0.500], [0.667, 0.333, 0.500], [0.006, 0.503, 0.248], [0.006, 0.503, 0.752], [0.497, 0.503, 0.248], [0.497, 0.503, 0.752], [0.497, 0.994, 0.248], [0.497, 0.994, 0.752]]
}



{
  "formula": "CeFePH",
  "functional": "PBE",
  "state": "relaxed",
  "final_energy_ev_per_fu": -26.87,
  "dos_ef_per_ev_atom": 0.463,
  "lattice_angstrom": [[3.826, 0.000, 0.000], [0.000, 3.826, 0.000], [0.000, 0.000, 7.545]],
  "species": ["Ce", "Ce", "Fe", "Fe", "P", "P", "H", "H"],
  "fractional_positions": [[0.250, 0.250, 0.185], [0.750, 0.750, 0.815], [0.250, 0.750, 0.500], [0.750, 0.250, 0.500], [0.250, 0.250, 0.652], [0.750, 0.750, 0.348], [0.250, 0.750, 0.000], [0.750, 0.250, 0.000]]
}